A geometry-optimized Bi2PdPb2 structure. Source: Alexandria via LeMat-Bulk, functional PBE.

Properties
E_tot, eV/atom: -4.070
Crystal system: tetragonal
Spin magnetization, μB per cell: 0.0
Formation energy, eV per atom: 0.0038
Relative energy among the computed polymorphs, eV per atom: 0.130
N(E_F), states/eV/atom: 0.431

abc: 7.326 7.326 5.553
angles: 90.00 90.00 90.00
Space group P4/mbm (No. 127)
Symmetry-distinct sites (fractional):
Bi1 0.151 0.349 0.000
Pd1 0.000 0.000 0.000
Pb1 0.173 0.673 0.500

***

A geometry-optimized K3B6ClO10 structure. Source: Alexandria via LeMat-Bulk, functional PBE.

Properties
E_tot, eV/atom: -7.121
Crystal system: trigonal
Spin magnetization, μB per cell: 0.5
N(E_F), states/eV/atom: 0.000

abc: 10.1780 10.1780 9.0447
angles: 90.00 90.00 120.00
Space group R3m (No. 160, hexagonal axes)
Symmetry-distinct sites (fractional):
K1 0.1786 0.3572 0.0000
B1 0.0875 0.1750 0.6635
B2 0.1836 0.3672 0.4464
Cl1 0.0000 0.0000 0.1336
O1 0.0000 0.0000 0.6688
O2 0.0009 0.2338 0.7426
O3 0.1089 0.5545 0.1762

***

A geometry-optimized Tb2In5Cu3 structure. Source: Alexandria via LeMat-Bulk, functional PBE.

Properties
E_tot, eV/atom: -3.813
Crystal system: orthorhombic
Spin magnetization, μB per cell: 0.0
Formation energy, eV per atom: -0.2893
N(E_F), states/eV/atom: 0.436

abc: 4.458 26.174 7.282
angles: 90.00 90.00 90.00
Space group Cmc2_1 (No. 36)
Symmetry-distinct sites (fractional):
Tb1 0.000 0.022 0.000
Tb2 0.000 0.326 0.954
In1 0.000 0.097 0.638
In2 0.000 0.206 0.157
In3 0.000 0.209 0.747
In4 0.000 0.378 0.484
In5 0.000 0.448 0.829
Cu1 0.000 0.109 0.259
Cu2 0.000 0.273 0.450
Cu3 0.000 0.455 0.218